DFT (PBE) results for crystalline Na3Dy3BiO8 at its relaxed geometry.

Structure (POSCAR):
```
Na3Dy3BiO8
1.0
3.443 1.988 5.634
-3.443 1.988 5.634
0.000 -3.975 5.634
Na Dy Bi O
3 3 1 8
direct
0.000 0.500 0.500
0.500 0.000 0.500
0.500 0.500 0.000
0.000 0.000 0.500
0.000 0.500 0.000
0.500 0.000 0.000
0.500 0.500 0.500
0.235 0.235 0.235
0.242 0.732 0.732
0.268 0.268 0.758
0.268 0.758 0.268
0.732 0.242 0.732
0.732 0.732 0.242
0.758 0.268 0.268
0.765 0.765 0.765
```

## Properties
DOS at the Fermi energy	0.103	states/eV per atom
crystal system	trigonal
space group	R-3m, No. 166



DFT (PBE) results for crystalline Na2Dy2BiO6 at its relaxed geometry.

Structure (POSCAR):
```
Na2Dy2BiO6
1.0
2.982 -5.188 0.000
2.982 5.188 0.000
-1.850 0.000 5.676
Na Dy Bi O
2 2 1 6
direct
0.165 0.835 0.000
0.835 0.165 0.000
0.335 0.665 0.500
0.665 0.335 0.500
0.000 0.000 0.500
0.052 0.397 0.703
0.258 0.258 0.294
0.397 0.052 0.703
0.603 0.948 0.297
0.742 0.742 0.706
0.948 0.603 0.297
```

## Properties
DOS at the Fermi energy	0.329	states/eV per atom
crystal system	monoclinic
space group	C2/m, No. 12



Listing raw formation energy for the structures above in their given order: -2.4195, -2.2598 eV/atom.